# 1
This record from Alexandria via LeMat-Bulk describes a relaxed structure of LuPaReMo. The functional is PBE.

Properties
As for the crystal system: cubic. The calculation puts the total DFT energy (no corrections) at -9.26 eV/atom.

Lattice parameters (Å, degrees): 4.829 4.829 4.829 60.00 60.00 60.00
Fractional positions:
Pa  0.250  0.250  0.250
Lu  0.750  0.750  0.750
Re  0.500  0.500  0.500
Mo  0.000  0.000  0.000



# 2
This record from Alexandria via LeMat-Bulk describes a relaxed structure of LuPaMoRh. The functional is PBE.

Properties
As for the crystal system: cubic. The calculation puts the total DFT energy (no corrections) at -8.36 eV/atom.

Lattice parameters (Å, degrees): 4.842 4.842 4.842 60.00 60.00 60.00
Fractional positions:
Mo  0.500  0.500  0.500
Lu  0.750  0.750  0.750
Rh  0.000  0.000  0.000
Pa  0.250  0.250  0.250



# 3
This record from Alexandria via LeMat-Bulk describes a relaxed structure of PmLuMo4. The functional is PBE.

Properties
As for the crystal system: cubic. The calculation puts the total DFT energy (no corrections) at -8.64 eV/atom.

Lattice parameters (Å, degrees): 5.523 5.523 5.523 60.00 60.00 60.00
Fractional positions:
Mo  0.625  0.126  0.625
Lu  0.000  0.000  0.000
Mo  0.126  0.625  0.625
Mo  0.625  0.625  0.625
Pm  0.250  0.250  0.250
Mo  0.625  0.625  0.126



# 4
This record from Alexandria via LeMat-Bulk describes a relaxed structure of PrLuMo4. The functional is PBE.

Properties
As for the crystal system: cubic. The calculation puts the total DFT energy (no corrections) at -8.60 eV/atom.

Lattice parameters (Å, degrees): 5.538 5.538 5.538 60.00 60.00 60.00
Fractional positions:
Mo  0.625  0.126  0.625
Mo  0.126  0.625  0.625
Mo  0.625  0.625  0.625
Pr  0.250  0.250  0.250
Lu  0.000  0.000  0.000
Mo  0.625  0.625  0.126



| no. | ΔH_f (0 K) (eV per atom) |
| --- | --- |
| 1 | 0.060 |
| 2 | -0.308 |
| 3 | 0.129 |
| 4 | 0.170 |